The following is a PBE calculation of a relaxed TlTeSe2 crystal, from Alexandria.

## Properties
energy relative to the elements, uncorrected: -0.119 eV per atom
D(E_F): 0.399 states/eV/atom
M_tot: 0.000 μB/atom
polymorph energy (0 for the lowest one): 29 meV/atom

abc: 7.7685 7.7685 4.1799
angles: 107.49 107.49 31.19
Positions (direct):
Te: 0.5204 0.5204 0.5060
Se: 0.9991 0.9991 0.9831
Se: 0.7011 0.7011 0.7087
Tl: 0.2794 0.2794 0.3022